{
  "formula": "Mn3ZnO10",
  "functional": "GGA+U",
  "state": "relaxed",
  "relative_energy_mev_per_atom": 199.0,
  "lattice_angstrom": [[3.8800, 2.2401, 7.9273], [-3.8800, 2.2401, 7.9273], [0.0000, -4.4803, 7.9273]],
  "species": ["Mn", "Mn", "Mn", "Mn", "Mn", "Mn", "Zn", "Zn", "O", "O", "O", "O", "O", "O", "O", "O", "O", "O", "O", "O", "O", "O", "O", "O", "O", "O", "O", "O"],
  "fractional_positions": [[0.0723, 0.7863, 0.6428], [0.2137, 0.3572, 0.9277], [0.3572, 0.9277, 0.2137], [0.6428, 0.0723, 0.7863], [0.7863, 0.6428, 0.0723], [0.9277, 0.2137, 0.3572], [0.4385, 0.4385, 0.4385], [0.5615, 0.5615, 0.5615], [0.0675, 0.6360, 0.9194], [0.0806, 0.9325, 0.3640], [0.1919, 0.5096, 0.6643], [0.2058, 0.2058, 0.2058], [0.2423, 0.4512, 0.2953], [0.2953, 0.2423, 0.4512], [0.3357, 0.8081, 0.4904], [0.3640, 0.0806, 0.9325], [0.4512, 0.2953, 0.2423], [0.4904, 0.3357, 0.8081], [0.5096, 0.6643, 0.1919], [0.5488, 0.7047, 0.7577], [0.6360, 0.9194, 0.0675], [0.6643, 0.1919, 0.5096], [0.7047, 0.7577, 0.5488], [0.7577, 0.5488, 0.7047], [0.7942, 0.7942, 0.7942], [0.8081, 0.4904, 0.3357], [0.9194, 0.0675, 0.6360], [0.9325, 0.3640, 0.0806]]
}